This record from the Alexandria database describes crystalline SrNi2Cl2 at its relaxed geometry. The functional is PBE-GGA.

a = 3.450 Å, b = 3.450 Å, c = 9.797 Å
α = 79.86°, β = 79.86°, γ = 90.00°
Fractional coordinates of all 5 atoms:
Sr 0.000 0.000 0.000
Cl 0.414 0.414 0.173
Cl 0.586 0.586 0.827
Ni 0.750 0.250 0.500
Ni 0.250 0.750 0.500

Results
Space group = I4/mmm, No. 139
Energy relative to the lowest polymorph listed for this composition = 0 meV/atom
Total magnetization = 1.85 Bohr magnetons per cell
Raw formation energy = -0.596 eV/atom

***

This record from the Alexandria database describes crystalline Sr2AcN2 at its relaxed geometry. The functional is PBE-GGA.

a = 3.890 Å, b = 3.890 Å, c = 10.446 Å
α = 79.27°, β = 79.27°, γ = 60.00°
Fractional coordinates of all 5 atoms:
Sr 0.236 0.236 0.292
Sr 0.764 0.764 0.708
Ac 0.000 0.000 0.000
N 0.615 0.615 0.156
N 0.385 0.385 0.844

Results
Space group = R-3m, No. 166
Total magnetization = 0.00 Bohr magnetons per cell
Raw formation energy = -0.754 eV/atom

***

This record from the Alexandria database describes crystalline TaSe2F at its relaxed geometry. The functional is PBE-GGA.

a = 4.521 Å, b = 4.521 Å, c = 4.521 Å
α = 60.00°, β = 60.00°, γ = 60.00°
Fractional coordinates of all 4 atoms:
F 0.000 0.000 0.000
Se 0.250 0.250 0.250
Se 0.750 0.750 0.750
Ta 0.500 0.500 0.500

Results
Space group = Fm-3m, No. 225
Energy relative to the lowest polymorph listed for this composition = 695 meV/atom
Total magnetization = 0.00 Bohr magnetons per cell
Raw formation energy = -0.593 eV/atom

***

This record from the Alexandria database describes crystalline Tb3Ce4Sn4 at its relaxed geometry. The functional is PBE-GGA.

a = 3.907 Å, b = 10.482 Å, c = 9.725 Å
α = 122.61°, β = 101.59°, γ = 90.00°
Fractional coordinates of all 11 atoms:
Tb 0.112 0.112 0.224
Tb 0.888 0.888 0.776
Tb 0.000 0.500 0.000
Ce 0.307 0.078 0.615
Ce 0.693 0.463 0.385
Ce 0.693 0.922 0.385
Ce 0.307 0.537 0.615
Sn 0.222 0.722 0.444
Sn 0.778 0.278 0.556
Sn 0.500 0.789 0.000
Sn 0.500 0.211 0.000

Results
Space group = Immm, No. 71
Energy relative to the elements = -403.8 meV/atom
Total magnetization = 0.00 Bohr magnetons per cell